AcCu3Ni4O12 (PBE+U, relaxed); volume = 10.2 Å³/atom; DFT total energy = -5.279 eV per atom; density of states at the Fermi level = 11.05 states/eV/f.u.; size of the total moment = 3.9 Bohr magnetons per cell
1.0
-3.604 4.934 1.964
0.722 -4.174 4.822
5.757 2.156 -1.844
Ac Cu Ni O
1 3 4 12
Cartesian
0.000 0.000 0.000
3.240 -1.009 1.489
-1.441 0.380 3.393
1.077 3.545 0.060
-1.802 2.467 0.982
1.438 1.458 2.471
0.361 -2.087 2.411
2.879 1.078 -0.922
0.284 -1.588 4.346
2.591 4.504 0.596
1.078 1.027 4.390
-1.601 1.744 4.664
-1.062 4.166 1.733
1.548 -0.506 2.111
-0.538 1.463 2.162
3.937 -1.250 3.209
1.798 1.890 0.552
4.476 1.173 0.277
1.327 3.422 2.831
3.414 1.453 2.779